A relaxed structure of Ca3AgC, computed with GGA-PBEsol.

- V: 124 Å³ per cell
- VASP energy: -3.786 eV/atom
- Space group: Pm-3m (221)
- DOS at the Fermi energy: 3.9 states/eV per cell
- Theoretical density: 3.21 g cm⁻³

a = 4.9898 Å, b = 4.9898 Å, c = 4.9898 Å
α = 90.00°, β = 90.00°, γ = 90.00°
Last column: nearest neighbours and their distance in Å.
Atoms (fractional coordinates):
Ca  0.0000  0.0000  0.5000  2 C 2.49
Ca  0.0000  0.5000  0.0000  2 C 2.49
Ca  0.5000  0.0000  0.0000  2 C 2.49
Ag  0.5000  0.5000  0.5000  12 Ca 3.53
C  0.0000  0.0000  0.0000  6 Ca 2.49

A relaxed structure of LaCdAg2C, computed with GGA-PBEsol.

- V: 110 Å³ per cell
- VASP energy: -3.592 eV/atom
- Space group: P4/mmm (123)
- DOS at the Fermi energy: 3.5 states/eV per cell
- Theoretical density: 7.23 g cm⁻³

a = 5.0508 Å, b = 5.0508 Å, c = 4.3108 Å
α = 90.00°, β = 90.00°, γ = 90.00°
Last column: nearest neighbours and their distance in Å.
Atoms (fractional coordinates):
La  0.0000  0.0000  0.0000  8 Ag 3.32, 4 C 3.57
Cd  0.5000  0.5000  0.5000  2 C 2.16
Ag  0.0000  0.5000  0.5000  2 Cd 2.53
Ag  0.5000  0.0000  0.5000  2 Cd 2.53
C  0.5000  0.5000  0.0000  2 Cd 2.16